(1)
Below is a relaxed structure of La2AlSb, with properties calculated at the PBE level.

Calculated values
Space-group type: I4/mmm
E_form (uncorrected) (eV/atom): -0.610
Density of states at the Fermi level (states/eV/atom): 1.1392

Cell lengths 5.336, 5.336, 5.336 Å; angles 112.86, 112.86, 102.89 degrees
Fractional coordinates of all 4 atoms:
La: 0.250 0.750 0.500
La: 0.750 0.250 0.500
Al: 0.000 0.000 0.000
Sb: 0.500 0.500 0.000

=====

(2)
Below is a relaxed structure of PmThPb6, with properties calculated at the PBE level.

Calculated values
Space-group type: P4/mmm
Density of states at the Fermi level (states/eV/atom): 0.7726

Cell lengths 4.911, 4.911, 9.832 Å; angles 90.00, 90.00, 90.00 degrees
Fractional coordinates of all 8 atoms:
Pm: 0.000 0.000 0.000
Th: 0.000 0.000 0.500
Pb: 0.000 0.500 0.249
Pb: 0.000 0.500 0.751
Pb: 0.500 0.000 0.249
Pb: 0.500 0.000 0.751
Pb: 0.500 0.500 0.000
Pb: 0.500 0.500 0.500

=====

In the order shown, the computed mass density values come out to 6.115 11.345 Mg/m³.
In the order shown, the computed uncorrected energy values come out to -20.2 -36.7 eV/cell.